Record 1
# NbHO3

A PBEsol-optimized structure of NbHO3 (SCAN, Alexandria).

Computed properties:
theoretical density: 4.2 g cm⁻³
uncorrected energy: -13.263 eV per atom
DOS(E_F): 0.000 states/eV per atom

Cell lengths 6.6135, 6.6246, 6.6596 Å; angles 109.63, 110.58, 107.88 degrees
Last column: nearest neighbours and their distance in Å.
Space group P1 (No. 1)
Unique sites:
Nb 0.0000 0.0000 0.0000 (multiplicity 1)  3 O 1.85-2.01
Nb 0.9996 0.4888 0.5177 (multiplicity 1)  5 O 1.88-2.08
Nb 0.4895 0.0242 0.5195 (multiplicity 1)  3 O 1.83-1.98
Nb 0.5043 0.5431 0.0281 (multiplicity 1)  4 O 1.88-2.10
H 0.4762 0.2656 0.2387 (multiplicity 1)  1 O 1.01
H 0.4779 0.7990 0.7720 (multiplicity 1)  1 O 1.01
H 0.7716 0.3123 0.0048 (multiplicity 1)  1 O 1.03
H 0.8327 0.7985 0.4987 (multiplicity 1)  1 O 1.02
O 0.0405 0.7436 0.8332 (multiplicity 1)  2 Nb 1.85-2.07
O 0.2105 0.0324 0.3452 (multiplicity 1)  1 Nb 1.83
O 0.2119 0.4062 0.7250 (multiplicity 1)  2 Nb 1.89-1.95
O 0.3415 0.7877 0.6299 (multiplicity 1)  1 H 1.01
O 0.3430 0.2653 0.1043 (multiplicity 1)  1 H 1.01
O 0.4385 0.7501 0.2393 (multiplicity 1)  2 Nb 1.88-1.95
O 0.6261 0.3075 0.8729 (multiplicity 1)  1 H 1.03
O 0.6935 0.2585 0.4584 (multiplicity 1)  1 H 1.68
O 0.6946 0.7908 0.9848 (multiplicity 1)  1 H 1.65
O 0.8176 0.0094 0.7180 (multiplicity 1)  1 H 1.71, 1 Nb 1.88
O 0.8228 0.6561 0.3666 (multiplicity 1)  1 H 1.02
O 0.9639 0.3051 0.2111 (multiplicity 1)  1 H 1.54

---

Record 2
# Nb2P4H3O16

A PBEsol-optimized structure of Nb2P4H3O16 (SCAN, Alexandria).

Computed properties:
theoretical density: 3.2 g cm⁻³
uncorrected energy: -10.972 eV per atom
DOS(E_F): 0.204 states/eV per atom

Cell lengths 5.0415, 7.2841, 8.2448 Å; angles 90.29, 91.74, 105.57 degrees
Last column: nearest neighbours and their distance in Å.
Space group P-1 (No. 2)
Unique sites:
Nb 0.0000 0.0000 0.0000 (multiplicity 1)  6 O 1.97-2.08
Nb 0.5000 0.5000 0.5000 (multiplicity 1)  6 O 1.99-2.01
P 0.1157 0.7737 0.3509 (multiplicity 2)  4 O 1.51-1.57
P 0.3660 0.7261 0.8464 (multiplicity 2)  4 O 1.53-1.55
H 0.1402 0.4226 0.8979 (multiplicity 2)  1 O 1.01
H 0.5000 0.0000 0.5000 (multiplicity 1)  2 O 1.20
O 0.0245 0.7959 0.1704 (multiplicity 2)  1 P 1.57, 1 H 1.67
O 0.1551 0.3086 0.5580 (multiplicity 2)  1 P 1.55
O 0.1644 0.8503 0.8373 (multiplicity 2)  1 P 1.53
O 0.2569 0.5455 0.9488 (multiplicity 2)  1 H 1.01
O 0.2758 0.6188 0.3483 (multiplicity 2)  1 P 1.55
O 0.2861 0.9606 0.4222 (multiplicity 2)  1 H 1.20
O 0.3695 0.1597 0.0628 (multiplicity 2)  1 P 1.54
O 0.4291 0.6685 0.6759 (multiplicity 2)  1 P 1.53

---

Record 3
# NbP2HO

A PBEsol-optimized structure of NbP2HO (SCAN, Alexandria).

Computed properties:
theoretical density: 3.1 g cm⁻³
uncorrected energy: -12.508 eV per atom
DOS(E_F): 0.343 states/eV per atom

Cell lengths 4.8804, 4.8804, 3.8860 Å; angles 90.00, 90.00, 90.00 degrees
Last column: nearest neighbours and their distance in Å.
Space group P4/mmm (No. 123)
Unique sites:
Nb 0.0000 0.0000 0.0000 (multiplicity 1)  2 O 1.94
P 0.0000 0.5000 0.0000 (multiplicity 2)  2 Nb 2.44
H 0.5000 0.5000 0.5000 (multiplicity 1)  8 P 3.12, 4 O 3.45
O 0.0000 0.0000 0.5000 (multiplicity 1)  2 Nb 1.94

---

Record 4
# NbPHO2

A PBEsol-optimized structure of NbPHO2 (SCAN, Alexandria).

Computed properties:
theoretical density: 5.8 g cm⁻³
uncorrected energy: -11.961 eV per atom
DOS(E_F): 0.508 states/eV per atom

Cell lengths 3.9059, 3.9059, 2.9594 Å; angles 90.00, 90.00, 90.00 degrees
Last column: nearest neighbours and their distance in Å.
Space group P4/mmm (No. 123)
Unique sites:
Nb 0.0000 0.0000 0.0000 (multiplicity 1)  8 O 2.45
P 0.5000 0.5000 0.0000 (multiplicity 1)  2 H 1.48
H 0.5000 0.5000 0.5000 (multiplicity 1)  2 P 1.48
O 0.0000 0.5000 0.5000 (multiplicity 2)  2 H 1.95

---

Record 5
# TiNbHO5

A PBEsol-optimized structure of TiNbHO5 (SCAN, Alexandria).

Computed properties:
theoretical density: 3.6 g cm⁻³
uncorrected energy: -13.085 eV per atom
DOS(E_F): 0.000 states/eV per atom

Cell lengths 6.5263, 3.7926, 16.5679 Å; angles 90.00, 90.00, 90.00 degrees
Last column: nearest neighbours and their distance in Å.
Space group Pnma (No. 62)
Unique sites:
Ti 0.1779 0.2500 0.0356 (multiplicity 4)  4 O 1.77-1.97
Nb 0.2083 0.2500 0.3782 (multiplicity 4)  2 O 1.77-1.98
H 0.0919 0.2500 0.1934 (multiplicity 4)  1 O 1.06
O 0.0264 0.2500 0.1345 (multiplicity 4)  1 H 1.06
O 0.0746 0.7500 0.5787 (multiplicity 4)  1 Ti 1.77
O 0.1397 0.7500 0.0084 (multiplicity 4)  3 Ti 1.97-2.20
O 0.1626 0.2500 0.2730 (multiplicity 4)  1 H 1.40
O 0.2334 0.7500 0.4144 (multiplicity 4)  2 Nb 2.00, 1 Ti 2.09

---

Record 6
# Nb2H2Os

A PBEsol-optimized structure of Nb2H2Os (SCAN, Alexandria).

Computed properties:
theoretical density: 11.5 g cm⁻³
uncorrected energy: -29.298 eV per atom
DOS(E_F): 0.656 states/eV per atom

Cell lengths 2.9742, 2.9742, 12.3764 Å; angles 90.00, 90.00, 90.00 degrees
Last column: nearest neighbours and their distance in Å.
Space group I4/mmm (No. 139)
Unique sites:
Nb 0.0000 0.0000 0.1425 (multiplicity 4)  4 H 2.00
H 0.0000 0.5000 0.2500 (multiplicity 4)  4 Nb 2.00, 4 H 2.10
Os 0.0000 0.0000 0.5000 (multiplicity 2)  8 Nb 2.74, 4 Os 2.97